The following is a DFT calculation (PBE-GGA) of a geometry-optimized Sm5Ti structure.

Unit cell a=4.9541 b=4.9282 c=7.8801 alpha=108.22 beta=90.00 gamma=90.00
With the nearest neighbours (Å) after each atom.
Element x y z (fractional)
Sm: 0.5000 0.1598 0.3195  10 Sm 3.43-3.69, 2 Ti 3.44
Sm: 0.5000 0.5000 0.0000  8 Sm 3.42-3.43, 4 Ti 3.49
Sm: 0.5000 0.8402 0.6805  10 Sm 3.43-3.69, 2 Ti 3.44
Sm: 0.0000 0.6580 0.3159  2 Ti 3.42, 10 Sm 3.42-3.70
Sm: 0.0000 0.3420 0.6841  2 Ti 3.42, 10 Sm 3.42-3.70
Ti: 0.0000 0.0000 0.0000  12 Sm 3.42-3.49

Properties
As for the magnetic moment: 0.06 μB/atom. As for the space-group type: Cmmm, No. 65. Its energy of formation from the pure elements is 0.160 eV per atom.